Entry 1:
# ScTaMo2Se

An optimized crystal structure of ScTaMo2Se (GGA-PBE, Alexandria via LeMat-Bulk).

Values from the calculation:
energy relative to the elements, uncorrected: 1957 meV per atom
calculated total energy: -0.4931 Ry/atom

a b c (Å): 4.6471 4.6471 4.8974
angles (deg): 90.00 90.00 90.00
Closest atoms and distances in Å follow each position.
Space group P4/mmm (No. 123)
Symmetry-distinct sites (fractional):
Sc 0.0000 0.0000 0.0000 [1 per cell]  4 Mo 2.32, 2 Ta 2.45
Ta 0.0000 0.0000 0.5000 [1 per cell]  2 Sc 2.45
Mo 0.0000 0.5000 0.0000 [2 per cell]  2 Sc 2.32
Se 0.5000 0.5000 0.5000 [1 per cell]  4 Ta 3.29, 8 Mo 3.38

Entry 2:
# BaZrBr2

An optimized crystal structure of BaZrBr2 (GGA-PBE, Alexandria via LeMat-Bulk).

Values from the calculation:
energy relative to the elements, uncorrected: -723 meV per atom
calculated total energy: -0.3070 Ry/atom
E above lowest polymorph: 0.0871 eV per atom

a b c (Å): 3.6671 3.6671 28.7411
angles (deg): 90.00 90.00 120.00
Closest atoms and distances in Å follow each position.
Space group R-3m (No. 166, hexagonal axes)
Symmetry-distinct sites (fractional):
Ba 0.0000 0.0000 0.0000 [3 per cell]  6 Br 3.53, 6 Ba 3.67
Zr 0.0000 0.0000 0.5000 [3 per cell]  6 Br 2.89
Br 0.0000 0.0000 0.2352 [6 per cell]  3 Zr 2.89

Entry 3:
# Fe2RuAuN

An optimized crystal structure of Fe2RuAuN (GGA-PBE, Alexandria via LeMat-Bulk).

Values from the calculation:
energy relative to the elements, uncorrected: 73 meV per atom
calculated total energy: -0.5503 Ry/atom
E above lowest polymorph: 0.0000 eV per atom

a b c (Å): 3.9477 3.9477 3.9995
angles (deg): 90.00 90.00 90.00
Closest atoms and distances in Å follow each position.
Space group P4/mmm (No. 123)
Symmetry-distinct sites (fractional):
Fe 0.0000 0.5000 0.0000 [2 per cell]  2 N 1.97
Ru 0.0000 0.0000 0.5000 [1 per cell]  2 N 2.00
Au 0.5000 0.5000 0.5000 [1 per cell]  4 Ru 2.79, 8 Fe 2.81
N 0.0000 0.0000 0.0000 [1 per cell]  4 Fe 1.97, 2 Ru 2.00

no.,mass density (g/cm³)
1,7.8
2,5.8
3,11.3